{
  "formula": "Pr2Tl3GeSe6",
  "functional": "PBE",
  "state": "optimized geometry",
  "lattice_angstrom": [[-0.5444, 3.4587, -2.4527], [-8.8903, -1.4632, -0.0902], [2.2327, 4.0175, 8.8952]],
  "species": ["Pr", "Pr", "Se", "Se", "Se", "Se", "Se", "Se", "Tl", "Tl", "Tl", "Ge"],
  "frac_coords": [[0.8373, 0.6684, 0.6746], [0.1627, 0.3316, 0.3254], [0.6504, 0.0962, 0.3008], [0.9969, 0.7850, 0.9939], [0.6753, 0.5693, 0.3505], [0.0031, 0.2150, 0.0061], [0.3496, 0.9038, 0.6992], [0.3247, 0.4307, 0.6495], [0.8312, 0.1578, 0.6623], [0.5000, 0.5000, 0.0000], [0.1688, 0.8422, 0.3377], [0.5000, 0.0000, 0.0000]],
  "raw_formation_energy_kcal_per_mol_atoms": -22.19,
  "sg": "C2/m (12)",
  "dft_energy_ev_per_atom": -4.4774
}


{
  "formula": "Pr3Tl3GeSe8",
  "functional": "PBE",
  "state": "optimized geometry",
  "lattice_angstrom": [[-6.8134, -2.2389, 4.5898], [7.8298, -1.5569, 2.9648], [-2.8863, 8.7224, -0.0239]],
  "species": ["Tl", "Tl", "Tl", "Se", "Se", "Se", "Se", "Se", "Se", "Se", "Se", "Pr", "Pr", "Pr", "Ge"],
  "frac_coords": [[0.0000, 0.5000, 0.0000], [0.5000, 0.5000, 0.0000], [0.0000, 0.0000, 0.0000], [0.7385, 0.4771, 0.7158], [0.2615, 0.5229, 0.2842], [0.2153, 0.9810, 0.6965], [0.2154, 0.4309, 0.6965], [0.7846, 0.5691, 0.3035], [0.2343, 0.0190, 0.3036], [0.7657, 0.9810, 0.6964], [0.7847, 0.0190, 0.3035], [0.0000, 0.5000, 0.5000], [0.5000, 0.5000, 0.5000], [0.5000, 0.0000, 0.5000], [0.0000, 0.0000, 0.5000]],
  "raw_formation_energy_kcal_per_mol_atoms": -24.35,
  "sg": "R-3m (166)",
  "dft_energy_ev_per_atom": -4.6511
}


{
  "formula": "PrTlGeSe4",
  "functional": "PBE",
  "state": "optimized geometry",
  "lattice_angstrom": [[-4.6057, 4.9585, 1.5604], [-3.5109, -1.4072, -5.8915], [-3.0520, -7.6800, 3.6531]],
  "species": ["Pr", "Pr", "Se", "Se", "Se", "Se", "Se", "Se", "Se", "Se", "Tl", "Tl", "Ge", "Ge"],
  "frac_coords": [[0.7658, 0.7500, 0.4434], [0.2342, 0.2500, 0.5566], [0.4233, 0.7500, 0.1471], [0.4163, 0.7500, 0.5816], [0.5837, 0.2500, 0.4184], [0.9929, 0.0116, 0.2761], [0.0071, 0.9884, 0.7239], [0.0071, 0.5116, 0.7239], [0.9929, 0.4884, 0.2761], [0.5767, 0.2500, 0.8529], [0.2522, 0.2500, 0.0663], [0.7478, 0.7500, 0.9337], [0.7779, 0.2500, 0.6842], [0.2221, 0.7500, 0.3158]],
  "raw_formation_energy_kcal_per_mol_atoms": -20.98,
  "sg": "P2_1/m (11)",
  "dft_energy_ev_per_atom": -4.5814
}


{
  "formula": "PrTl2GeSe4",
  "functional": "PBE",
  "state": "optimized geometry",
  "lattice_angstrom": [[8.6731, -0.0152, -0.0358], [-0.0213, 8.6731, -0.0358], [-4.2851, -4.2881, 6.1547]],
  "species": ["Ge", "Ge", "Tl", "Tl", "Tl", "Tl", "Se", "Se", "Se", "Se", "Se", "Se", "Se", "Se", "Pr", "Pr"],
  "frac_coords": [[0.0000, 0.0000, 0.0000], [0.5000, 0.5000, 0.5000], [0.0000, 0.0000, 0.5000], [0.5000, 0.5000, 0.0000], [0.5000, 0.0000, 0.0000], [0.5000, 0.0000, 0.5000], [0.2423, 0.2578, 0.0305], [0.7489, 0.2841, 0.5165], [0.2159, 0.7511, 0.9835], [0.7841, 0.2489, 0.0165], [0.7577, 0.7422, 0.9695], [0.7578, 0.7423, 0.5305], [0.2511, 0.7159, 0.4835], [0.2422, 0.2577, 0.4695], [0.0000, 0.5000, 0.0000], [0.0000, 0.5000, 0.5000]],
  "raw_formation_energy_kcal_per_mol_atoms": -17.33,
  "sg": "Imma (74)",
  "dft_energy_ev_per_atom": -4.2601
}


{
  "formula": "Pr6TlGe2Se3",
  "functional": "PBE",
  "state": "optimized geometry",
  "lattice_angstrom": [[4.3265, 0.0000, 0.0000], [0.0000, 8.7833, 0.1652], [-2.1632, -2.6860, 9.1595]],
  "species": ["Pr", "Pr", "Pr", "Pr", "Pr", "Pr", "Tl", "Ge", "Ge", "Se", "Se", "Se"],
  "frac_coords": [[0.0006, 0.2659, 0.0011], [0.3281, 0.9092, 0.6562], [0.6719, 0.0908, 0.3438], [0.9994, 0.7341, 0.9989], [0.3304, 0.4251, 0.6607], [0.6696, 0.5749, 0.3393], [0.5000, 0.0000, 0.0000], [0.1652, 0.3292, 0.3304], [0.8348, 0.6708, 0.6696], [0.1666, 0.8303, 0.3332], [0.8334, 0.1697, 0.6668], [0.5000, 0.5000, 0.0000]],
  "raw_formation_energy_kcal_per_mol_atoms": -29.26,
  "sg": "C2/m (12)",
  "dft_energy_ev_per_atom": -5.4964
}


{
  "formula": "PrTmGeSe",
  "functional": "PBE",
  "state": "optimized geometry",
  "lattice_angstrom": [[-3.2628, 1.0172, 2.4345], [-0.1755, -1.3815, 3.9582], [2.1940, 5.5229, 4.2491]],
  "species": ["Pr", "Ge", "Se", "Tm"],
  "frac_coords": [[0.4485, 0.4485, 0.6545], [0.1988, 0.1988, 0.4036], [0.6886, 0.6886, 0.9343], [0.9405, 0.9405, 0.1784]],
  "raw_formation_energy_kcal_per_mol_atoms": -31.21,
  "sg": "R3m (160)",
  "dft_energy_ev_per_atom": -5.6916
}